1.
Density functional theory data (PBE-GGA) for a relaxed Rb2Au crystal.

Cell: 8.9237 5.5717 11.0647 Å, 90.00 90.00 90.00°
Fractional coordinates of all 12 atoms:
Rb (0.0240, 0.2500, 0.1686)
Rb (0.1473, 0.2500, 0.5716)
Rb (0.3527, 0.7500, 0.0716)
Rb (0.4760, 0.7500, 0.6686)
Rb (0.5240, 0.2500, 0.3314)
Rb (0.6473, 0.2500, 0.9284)
Rb (0.8527, 0.7500, 0.4284)
Rb (0.9760, 0.7500, 0.8314)
Au (0.2436, 0.2500, 0.8852)
Au (0.2564, 0.7500, 0.3852)
Au (0.7436, 0.2500, 0.6148)
Au (0.7564, 0.7500, 0.1148)

Energy of formation (eV per atom): -0.177
Fermi-level density of states (states/eV/atom): 0.961
E (hartree per atom): -0.070

2.
Density functional theory data (PBE-GGA) for a relaxed LaNdThAl crystal.

Cell: 5.5278 5.5278 5.5278 Å, 60.00 60.00 60.00°
Fractional coordinates of all 4 atoms:
La (0.0000, 0.0000, 0.0000)
Nd (0.2500, 0.2500, 0.2500)
Th (0.5000, 0.5000, 0.5000)
Al (0.7500, 0.7500, 0.7500)

Energy of formation (eV per atom): 0.025
Fermi-level density of states (states/eV/atom): 1.354
E (hartree per atom): -0.191